Entry 1:
Density functional theory data (PBE-GGA) for a geometry-optimized TaTlRh structure.

Properties
ΔH_f (0 K): 0.616 eV/atom
Total moment: 0.0000 μB/atom
V: 64.8 Å³/cell

Unit cell a=4.5076 b=4.5076 c=4.5076 alpha=60.00 beta=60.00 gamma=60.00
Closest atoms and distances in Å follow each position.
Element x y z (fractional)
Ta 0.2500 0.2500 0.2500  4 Rh 2.76, 4 Tl 2.76
Tl 0.0000 0.0000 0.0000  4 Ta 2.76
Rh 0.5000 0.5000 0.5000  4 Ta 2.76



Entry 2:
Density functional theory data (PBE-GGA) for a geometry-optimized KTaV2Tc structure.

Properties
ΔH_f (0 K): 1.311 eV/atom
Total moment: 0.0003 μB/atom
V: 110.5 Å³/cell

Unit cell a=4.7407 b=4.9190 c=4.7407 alpha=90.00 beta=90.00 gamma=90.00
Closest atoms and distances in Å follow each position.
Element x y z (fractional)
V 0.5000 0.0000 0.0000  2 Tc 2.37
Tc 0.0000 0.0000 0.0000  4 V 2.37, 2 Ta 2.46
Ta 0.0000 0.5000 0.0000  2 Tc 2.46
K 0.5000 0.5000 0.5000  4 Ta 3.35, 8 V 3.42
V 0.0000 0.0000 0.5000  2 Tc 2.37



Entry 3:
Density functional theory data (PBE-GGA) for a geometry-optimized Ho2Si2Rh5Au structure.

Properties
Total moment: 0.0000 μB/atom
V: 331.7 Å³/cell
Energy relative to the elements, uncorrected: -8.8 eV per formula unit

Unit cell a=3.4962 b=9.7401 c=9.7401 alpha=90.00 beta=90.00 gamma=90.00
Closest atoms and distances in Å follow each position.
Element x y z (fractional)
Rh 0.5000 0.0000 0.5000  4 Si 2.45
Rh 0.5000 0.2155 0.0690  2 Si 2.40
Rh 0.5000 0.7845 0.9310  2 Si 2.40
Ho 0.0000 0.1748 0.3252  3 Si 2.77-2.95, 6 Rh 2.98-3.07
Rh 0.5000 0.0690 0.7845  2 Si 2.40
Au 0.0000 0.0000 0.0000  8 Rh 2.81
Rh 0.5000 0.2845 0.5690  2 Si 2.40
Rh 0.5000 0.7155 0.4310  2 Si 2.40
Si 0.0000 0.6243 0.8757  6 Rh 2.40-2.45
Au 0.0000 0.5000 0.5000  8 Rh 2.81
Ho 0.0000 0.6748 0.1748  3 Si 2.77-2.95, 6 Rh 2.98-3.07
Rh 0.5000 0.9310 0.2155  2 Si 2.40
Rh 0.5000 0.5690 0.7155  2 Si 2.40
Si 0.0000 0.3757 0.1243  6 Rh 2.40-2.45
Si 0.0000 0.8757 0.3757  6 Rh 2.40-2.45
Rh 0.5000 0.4310 0.2845  2 Si 2.40
Ho 0.0000 0.8252 0.6748  3 Si 2.77-2.95, 6 Rh 2.98-3.07
Si 0.0000 0.1243 0.6243  6 Rh 2.40-2.45
Ho 0.0000 0.3252 0.8252  3 Si 2.77-2.95, 6 Rh 2.98-3.07
Rh 0.5000 0.5000 0.0000  4 Si 2.45



Entry 4:
Density functional theory data (PBE-GGA) for a geometry-optimized NaSr2Ca structure.

Properties
ΔH_f (0 K): 0.046 eV/atom
Total moment: 0.0000 μB/atom
V: 192.1 Å³/cell

Unit cell a=4.1083 b=4.1083 c=13.3530 alpha=81.15 beta=81.15 gamma=60.00
Closest atoms and distances in Å follow each position.
Element x y z (fractional)
Na 0.0000 0.0000 0.0000  6 Sr 4.04, 6 Na 4.11
Sr 0.7496 0.7496 0.7513  3 Na 4.04, 3 Ca 4.07, 6 Sr 4.11
Sr 0.2504 0.2504 0.2487  3 Na 4.04, 3 Ca 4.07, 6 Sr 4.11
Ca 0.5000 0.5000 0.5000  6 Sr 4.07, 6 Ca 4.11



Entry 5:
Density functional theory data (PBE-GGA) for a geometry-optimized Si2SeBr structure.

Properties
Total moment: 0.0000 μB/atom
V: 88.9 Å³/cell
Energy relative to the elements, uncorrected: 1.3 eV per formula unit

Unit cell a=7.8648 b=7.8648 c=7.8648 alpha=27.07 beta=27.07 gamma=27.07
Closest atoms and distances in Å follow each position.
Element x y z (fractional)
Br 0.2500 0.2500 0.2500  6 Si 2.98
Si 0.0087 0.0087 0.0087  3 Se 2.72, 3 Br 2.98
Si 0.4913 0.4913 0.4913  3 Se 2.72, 3 Br 2.98
Se 0.7500 0.7500 0.7500  6 Si 2.72



Entry 6:
Density functional theory data (PBE-GGA) for a geometry-optimized Dy3Al structure.

Properties
ΔH_f (0 K): -0.190 eV/atom
Total moment: 0.0000 μB/atom
V: 111.2 Å³/cell

Unit cell a=3.7247 b=5.2588 c=6.5278 alpha=113.75 beta=106.58 gamma=90.00
Closest atoms and distances in Å follow each position.
Element x y z (fractional)
Dy 0.5000 0.4169 0.0000  4 Al 3.22, 4 Dy 3.59-3.60
Al 0.0000 0.9171 0.0000  8 Dy 3.08-3.22
Dy 0.2843 0.7006 0.5685  2 Al 3.08, 4 Dy 3.31
Dy 0.7157 0.1321 0.4315  2 Al 3.08, 4 Dy 3.31



Entry 7:
Density functional theory data (PBE-GGA) for a geometry-optimized LiCu3Se3 structure.

Properties
Total moment: 0.0000 μB/atom
V: 263.7 Å³/cell
Energy relative to the elements, uncorrected: -2.5 eV per formula unit

Unit cell a=6.7359 b=6.7359 c=7.7556 alpha=64.26 beta=64.26 gamma=60.00
Closest atoms and distances in Å follow each position.
Element x y z (fractional)
Cu 0.7946 0.1289 0.6130  4 Se 2.44-2.47, 3 Cu 2.71-2.72
Se 0.5858 0.9185 0.2444  4 Cu 2.44-2.47
Se 0.4142 0.0815 0.7556  4 Cu 2.44-2.47
Se 0.7486 0.4142 0.7556  4 Cu 2.44-2.47
Li 0.6660 0.6660 0.0020  6 Se 2.77-2.79
Se 0.2514 0.5858 0.2444  4 Cu 2.44-2.47
Cu 0.5365 0.2054 0.3870  4 Se 2.44-2.47, 3 Cu 2.71-2.72
Li 0.3340 0.3340 0.9980  6 Se 2.77-2.79
Cu 0.2054 0.8711 0.3870  4 Se 2.44-2.47, 3 Cu 2.71-2.72
Se 0.9185 0.2514 0.2444  4 Cu 2.44-2.47
Cu 0.8711 0.5365 0.3870  4 Se 2.44-2.47, 3 Cu 2.71-2.72
Cu 0.1289 0.4635 0.6130  4 Se 2.44-2.47, 3 Cu 2.71-2.72
Cu 0.4635 0.7946 0.6130  4 Se 2.44-2.47, 3 Cu 2.71-2.72
Se 0.0815 0.7486 0.7556  4 Cu 2.44-2.47



Entry 8:
Density functional theory data (PBE-GGA) for a geometry-optimized KCd11Au structure.

Properties
ΔH_f (0 K): -0.068 eV/atom
Total moment: 0.0000 μB/atom
V: 309.7 Å³/cell

Unit cell a=5.9891 b=7.8086 c=7.8179 alpha=81.21 beta=67.48 gamma=66.50
Closest atoms and distances in Å follow each position.
Element x y z (fractional)
Cd 0.0000 0.0000 0.5000  10 Cd 2.96-3.18
Cd 0.4960 0.7814 0.2146  1 Au 2.95, 7 Cd 2.95-3.21
Cd 0.0176 0.6430 0.3491  7 Cd 3.00-3.30, 1 Au 3.06
Cd 0.7106 0.7814 0.7854  1 Au 2.95, 7 Cd 2.95-3.21
K 0.0000 0.0000 0.0000  18 Cd 3.59-3.91, 2 Au 3.86
Cd 0.0000 0.5000 0.0000  8 Cd 2.95-3.15, 2 Au 2.99
Cd 0.5000 0.0000 0.5000  10 Cd 2.96-3.18
Cd 0.9824 0.3570 0.6509  7 Cd 3.00-3.30, 1 Au 3.06
Cd 0.5040 0.2186 0.7854  1 Au 2.95, 7 Cd 2.95-3.21
Cd 0.3667 0.6430 0.6509  7 Cd 3.00-3.30, 1 Au 3.06
Cd 0.6333 0.3570 0.3491  7 Cd 3.00-3.30, 1 Au 3.06
Au 0.5000 0.5000 0.0000  10 Cd 2.95-3.06
Cd 0.2894 0.2186 0.2146  1 Au 2.95, 7 Cd 2.95-3.21



Entry 9:
Density functional theory data (PBE-GGA) for a geometry-optimized Li2CaTiMn structure.

Properties
ΔH_f (0 K): 1.416 eV/atom
Total moment: 0.0000 μB/atom
V: 87.0 Å³/cell

Unit cell a=4.3191 b=4.6650 c=4.3191 alpha=90.00 beta=90.00 gamma=90.00
Closest atoms and distances in Å follow each position.
Element x y z (fractional)
Ti 0.5000 0.5000 0.5000  4 Mn 3.05, 8 Li 3.18
Mn 0.0000 0.5000 0.0000  2 Ca 2.33
Li 0.5000 0.0000 0.0000  2 Ca 2.16
Li 0.0000 0.0000 0.5000  2 Ca 2.16
Ca 0.0000 0.0000 0.0000  4 Li 2.16, 2 Mn 2.33



Entry 10:
Density functional theory data (PBE-GGA) for a geometry-optimized Ba2NiAs2H4 structure.

Properties
Total moment: 0.0034 μB/atom
Calculated total energy: -35.3 eV per cell
V: 160.8 Å³/cell

Unit cell a=5.9952 b=5.9952 c=5.9952 alpha=97.74 beta=115.64 gamma=115.64
Closest atoms and distances in Å follow each position.
Element x y z (fractional)
Ba 0.5000 0.2500 0.7500  8 H 3.08, 4 As 3.28
H 0.0000 0.8291 0.1709  1 Ni 1.54
Ni 0.0000 0.0000 0.0000  4 H 1.54
Ba 0.5000 0.7500 0.2500  8 H 3.08, 4 As 3.28
H 0.3418 0.1709 0.1709  1 Ni 1.54
H 0.0000 0.1709 0.8291  1 Ni 1.54
As 0.0000 0.6546 0.6546  1 As 2.44, 1 Ni 2.72
As 0.0000 0.3454 0.3454  1 As 2.44, 1 Ni 2.72
H 0.6582 0.8291 0.8291  1 Ni 1.54



Q: Among the records above, which one has the lowest V?
A: TaTlRh